VASP calculation (PBE) on an optimized crystal structure of CeTmSb.

Unit cell a=4.117 b=4.717 c=5.021 alpha=90.00 beta=90.00 gamma=90.00
Space group Pmmm (No. 47)
Asymmetric unit:
Ce 0.000 0.000 0.000 (multiplicity 1)
Tm 0.000 0.500 0.500 (multiplicity 1)
Sb 0.500 0.000 0.500 (multiplicity 1)

Output
total magnetic moment	1.76	μB/f.u.
total energy	-5.24	eV/atom